The following is a PBE calculation of a relaxed structure of Dy6TlTe, from the Alexandria database.

Unit cell a=8.694 b=8.686 c=6.150 alpha=45.04 beta=45.02 gamma=60.01
Positions (direct):
Dy 0.001 0.499 0.753
Dy 0.746 0.001 0.752
Dy 0.500 0.253 0.246
Dy 0.254 0.999 0.248
Dy 0.999 0.501 0.247
Dy 0.500 0.747 0.754
Tl 0.500 0.500 0.500
Te 0.000 0.000 0.000

Computed properties:
Space group: P-1, No. 2
VASP energy, eV per atom: -4.403
Formation energy from raw total energies, eV/f.u.: -2.102
Total magnetic moment, μB per formula unit: 0.0
Calculated density, Mg/m³: 9.34

The following is a PBE calculation of a relaxed structure of DyTl5Te5, from the Alexandria database.

Unit cell a=6.244 b=8.226 c=9.643 alpha=107.49 beta=90.00 gamma=112.30
Positions (direct):
Dy 0.000 0.000 0.000
Tl 0.679 0.359 0.312
Tl 0.682 0.364 0.855
Tl 0.000 0.000 0.500
Tl 0.318 0.636 0.145
Tl 0.321 0.641 0.688
Te 0.849 0.698 0.159
Te 0.845 0.689 0.689
Te 0.500 0.000 0.000
Te 0.155 0.311 0.311
Te 0.151 0.302 0.841

Computed properties:
Space group: C2/m, No. 12
VASP energy, eV per atom: -3.384
Formation energy from raw total energies, eV/f.u.: -5.081
Total magnetic moment, μB per formula unit: 0.0
Calculated density, Mg/m³: 6.98

The following is a PBE calculation of a relaxed structure of Dy8Tl2Te, from the Alexandria database.

Unit cell a=5.290 b=6.785 c=9.432 alpha=86.81 beta=106.29 gamma=90.00
Positions (direct):
Dy 0.408 0.426 0.817
Dy 0.668 0.086 0.336
Dy 0.789 0.608 0.577
Dy 0.032 0.249 0.065
Dy 0.211 0.392 0.423
Dy 0.332 0.914 0.664
Dy 0.592 0.574 0.183
Dy 0.968 0.751 0.935
Tl 0.839 0.165 0.679
Tl 0.161 0.835 0.321
Te 0.500 0.000 0.000

Computed properties:
Space group: C2/m, No. 12
VASP energy, eV per atom: -4.406
Formation energy from raw total energies, eV/f.u.: -3.776
Total magnetic moment, μB per formula unit: 0.0
Calculated density, Mg/m³: 9.40

The following is a PBE calculation of a relaxed structure of Dy6Tl3Te, from the Alexandria database.

Unit cell a=7.654 b=9.037 c=9.037 alpha=103.49 beta=90.00 gamma=90.00
Positions (direct):
Dy 0.106 0.777 0.673
Dy 0.606 0.673 0.777
Dy 0.239 0.469 0.871
Dy 0.739 0.871 0.469
Dy 0.261 0.986 0.014
Dy 0.698 0.291 0.709
Dy 0.198 0.709 0.291
Dy 0.761 0.014 0.986
Dy 0.239 0.129 0.531
Dy 0.739 0.531 0.129
Dy 0.106 0.327 0.223
Dy 0.606 0.223 0.327
Tl 0.480 0.982 0.721
Tl 0.980 0.721 0.982
Tl 0.347 0.479 0.521
Tl 0.847 0.521 0.479
Tl 0.980 0.018 0.279
Tl 0.480 0.279 0.018
Te 0.029 0.168 0.832
Te 0.529 0.832 0.168

Computed properties:
Space group: Cmc2_1, No. 36
VASP energy, eV per atom: -4.098
Formation energy from raw total energies, eV/f.u.: -3.124
Total magnetic moment, μB per formula unit: 0.0
Calculated density, Mg/m³: 9.37

The following is a PBE calculation of a relaxed structure of Dy5Tl2Te2, from the Alexandria database.

Unit cell a=8.107 b=8.090 c=8.792 alpha=117.39 beta=90.00 gamma=90.00
Positions (direct):
Dy 0.000 0.000 0.000
Dy 0.500 0.500 0.000
Dy 0.836 0.804 0.274
Dy 0.164 0.470 0.274
Dy 0.336 0.970 0.274
Dy 0.664 0.304 0.274
Dy 0.164 0.196 0.726
Dy 0.836 0.530 0.726
Dy 0.664 0.030 0.726
Dy 0.336 0.696 0.726
Tl 0.632 0.866 0.000
Tl 0.368 0.134 0.000
Tl 0.132 0.634 0.000
Tl 0.868 0.366 0.000
Te 0.000 0.201 0.403
Te 0.500 0.701 0.403
Te 0.000 0.799 0.597
Te 0.500 0.299 0.597

Computed properties:
Space group: Cmce, No. 64
VASP energy, eV per atom: -4.541
Formation energy from raw total energies, eV/f.u.: -6.841
Total magnetic moment, μB per formula unit: 0.0
Calculated density, Mg/m³: 9.58

The following is a PBE calculation of a relaxed structure of DyTm3Tl4Te8, from the Alexandria database.

Unit cell a=8.840 b=9.650 c=8.840 alpha=117.27 beta=120.00 gamma=90.00
Positions (direct):
Dy 0.000 0.500 0.000
Tm 0.500 0.500 0.000
Tm 0.500 0.500 0.500
Tm 0.000 0.500 0.500
Tl 0.500 0.000 0.000
Tl 0.500 0.000 0.500
Tl 0.000 0.000 0.000
Tl 0.000 0.000 0.500
Te 0.238 0.711 0.973
Te 0.238 0.711 0.477
Te 0.263 0.290 0.527
Te 0.735 0.711 0.973
Te 0.265 0.289 0.027
Te 0.737 0.710 0.473
Te 0.762 0.289 0.523
Te 0.762 0.289 0.027

Computed properties:
Space group: R-3m, No. 166
VASP energy, eV per atom: -4.322
Formation energy from raw total energies, eV/f.u.: -16.541
Total magnetic moment, μB per formula unit: 0.0
Calculated density, Mg/m³: 7.51

The following is a PBE calculation of a relaxed structure of DyU2Tl3Te6, from the Alexandria database.

Unit cell a=7.674 b=7.674 c=8.669 alpha=98.48 beta=98.48 gamma=120.00
Positions (direct):
Dy 0.000 0.000 0.000
U 0.333 0.667 0.000
U 0.667 0.333 0.000
Tl 0.167 0.833 0.500
Tl 0.833 0.167 0.500
Tl 0.500 0.500 0.500
Te 0.928 0.597 0.785
Te 0.740 0.740 0.216
Te 0.072 0.403 0.215
Te 0.597 0.928 0.785
Te 0.260 0.260 0.784
Te 0.403 0.072 0.215

Computed properties:
Space group: C2/m, No. 12
VASP energy, eV per atom: -5.115
Formation energy from raw total energies, eV/f.u.: -8.254
Total magnetic moment, μB per formula unit: 6.0
Calculated density, Mg/m³: 7.93

The following is a PBE calculation of a relaxed structure of DyU3Tl3Te8, from the Alexandria database.

Unit cell a=8.826 b=8.868 c=9.754 alpha=117.17 beta=89.99 gamma=119.92
Positions (direct):
Dy 0.000 0.000 0.500
U 0.500 0.000 0.500
U 0.500 0.500 0.500
U 0.000 0.500 0.500
Tl 0.000 0.000 0.000
Tl 0.000 0.500 0.000
Tl 0.500 0.500 0.000
Te 0.261 0.521 0.282
Te 0.739 0.479 0.718
Te 0.762 0.524 0.286
Te 0.238 0.476 0.714
Te 0.762 0.023 0.285
Te 0.238 0.977 0.715
Te 0.262 0.024 0.286
Te 0.738 0.976 0.714

Computed properties:
Space group: P-1, No. 2
VASP energy, eV per atom: -5.387
Formation energy from raw total energies, eV/f.u.: -10.099
Total magnetic moment, μB per formula unit: 2.7
Calculated density, Mg/m³: 7.41

The following is a PBE calculation of a relaxed structure of Dy2UTl3Te6, from the Alexandria database.

Unit cell a=7.713 b=7.713 c=8.620 alpha=98.58 beta=98.58 gamma=119.99
Positions (direct):
Dy 0.333 0.667 0.000
Dy 0.667 0.333 0.000
U 0.000 0.000 0.000
Tl 0.165 0.835 0.500
Tl 0.835 0.165 0.500
Tl 0.500 0.500 0.500
Te 0.928 0.591 0.785
Te 0.734 0.734 0.214
Te 0.072 0.409 0.215
Te 0.591 0.928 0.785
Te 0.266 0.266 0.786
Te 0.409 0.072 0.215

Computed properties:
Space group: C2/m, No. 12
VASP energy, eV per atom: -4.735
Formation energy from raw total energies, eV/f.u.: -10.385
Total magnetic moment, μB per formula unit: 3.0
Calculated density, Mg/m³: 7.61

The following is a PBE calculation of a relaxed structure of Dy3UTl4Te8, from the Alexandria database.

Unit cell a=8.901 b=9.699 c=8.901 alpha=117.33 beta=120.00 gamma=90.00
Positions (direct):
Dy 0.500 0.500 0.000
Dy 0.500 0.500 0.500
Dy 0.000 0.500 0.500
U 0.000 0.500 0.000
Tl 0.500 0.000 0.000
Tl 0.500 0.000 0.500
Tl 0.000 0.000 0.000
Tl 0.000 0.000 0.500
Te 0.240 0.715 0.975
Te 0.240 0.715 0.480
Te 0.262 0.287 0.525
Te 0.735 0.715 0.975
Te 0.265 0.285 0.025
Te 0.738 0.713 0.475
Te 0.760 0.285 0.520
Te 0.760 0.285 0.025

Computed properties:
Space group: R-3m, No. 166
VASP energy, eV per atom: -4.643
Formation energy from raw total energies, eV/f.u.: -14.587
Total magnetic moment, μB per formula unit: 3.0
Calculated density, Mg/m³: 7.54

The following is a PBE calculation of a relaxed structure of Dy2YTl3Te6, from the Alexandria database.

Unit cell a=7.711 b=7.711 c=8.579 alpha=98.62 beta=98.62 gamma=120.00
Positions (direct):
Dy 0.333 0.667 0.000
Dy 0.667 0.333 0.000
Y 0.000 0.000 0.000
Tl 0.167 0.833 0.500
Tl 0.833 0.167 0.500
Tl 0.500 0.500 0.500
Te 0.929 0.595 0.787
Te 0.737 0.737 0.213
Te 0.071 0.405 0.213
Te 0.595 0.929 0.787
Te 0.263 0.263 0.787
Te 0.405 0.071 0.213

Computed properties:
Space group: C2/m, No. 12
VASP energy, eV per atom: -4.527
Formation energy from raw total energies, eV/f.u.: -12.707
Total magnetic moment, μB per formula unit: 0.0
Calculated density, Mg/m³: 7.06

The following is a PBE calculation of a relaxed structure of DyY3Tl4Te8, from the Alexandria database.

Unit cell a=8.908 b=9.664 c=8.908 alpha=117.45 beta=120.00 gamma=90.00
Positions (direct):
Dy 0.000 0.500 0.000
Y 0.500 0.500 0.000
Y 0.500 0.500 0.500
Y 0.000 0.500 0.500
Tl 0.500 0.000 0.000
Tl 0.500 0.000 0.500
Tl 0.000 0.000 0.000
Tl 0.000 0.000 0.500
Te 0.238 0.714 0.976
Te 0.238 0.714 0.475
Te 0.262 0.286 0.524
Te 0.738 0.714 0.976
Te 0.262 0.286 0.024
Te 0.738 0.714 0.476
Te 0.762 0.286 0.525
Te 0.762 0.286 0.024

Computed properties:
Space group: R-3m, No. 166
VASP energy, eV per atom: -4.727
Formation energy from raw total energies, eV/f.u.: -17.044
Total magnetic moment, μB per formula unit: 0.0
Calculated density, Mg/m³: 6.70